{
  "formula": "V5MoOs2",
  "functional": "PBE-GGA",
  "state": "relaxed",
  "lattice": [[-2.133, 2.133, 6.078], [2.133, -2.133, 6.078], [2.133, 2.133, -6.078]],
  "species": ["V", "V", "V", "V", "V", "Mo", "Os", "Os"],
  "fractional_positions": [[0.000, 0.000, 0.000], [0.123, 0.623, 0.500], [0.377, 0.877, 0.500], [0.623, 0.123, 0.500], [0.877, 0.377, 0.500], [0.500, 0.500, 0.000], [0.249, 0.249, 0.000], [0.751, 0.751, 0.000]],
  "magmom_total_mub_per_cell": 0.00,
  "e_form_mev_per_atom": -291
}

=====

{
  "formula": "Ti5Nb2Os2Pt",
  "functional": "PBE-GGA",
  "state": "relaxed",
  "lattice": [[10.651, 0.000, 0.000], [0.000, 10.651, 0.000], [0.000, 0.000, 3.045]],
  "species": ["Ti", "Ti", "Ti", "Ti", "Ti", "Ti", "Ti", "Ti", "Ti", "Ti", "Nb", "Nb", "Nb", "Nb", "Os", "Os", "Os", "Os", "Pt", "Pt"],
  "fractional_positions": [[0.000, 0.500, 0.000], [0.042, 0.201, 0.000], [0.201, 0.958, 0.000], [0.299, 0.458, 0.000], [0.458, 0.701, 0.000], [0.500, 0.000, 0.000], [0.542, 0.299, 0.000], [0.701, 0.542, 0.000], [0.799, 0.042, 0.000], [0.958, 0.799, 0.000], [0.178, 0.678, 0.500], [0.322, 0.178, 0.500], [0.678, 0.822, 0.500], [0.822, 0.322, 0.500], [0.139, 0.361, 0.500], [0.361, 0.861, 0.500], [0.639, 0.139, 0.500], [0.861, 0.639, 0.500], [0.000, 0.000, 0.500], [0.500, 0.500, 0.500]],
  "magmom_total_mub_per_cell": 0.00,
  "e_form_mev_per_atom": -257
}

=====

{
  "formula": "Hf2CCl",
  "functional": "PBE-GGA",
  "state": "relaxed",
  "lattice": [[-2.727, 2.727, 5.243], [2.727, -2.727, 5.243], [2.727, 2.727, -5.243]],
  "species": ["Hf", "Hf", "Hf", "Hf", "C", "C", "Cl", "Cl"],
  "fractional_positions": [[0.055, 0.625, 0.930], [0.375, 0.305, 0.430], [0.695, 0.125, 0.070], [0.875, 0.945, 0.570], [0.000, 0.000, 0.000], [0.750, 0.250, 0.500], [0.250, 0.750, 0.500], [0.500, 0.500, 0.000]],
  "raw_formation_energy_ev_per_atom": -0.3198,
  "magmom_total_mub_per_cell": 0.00
}

=====

{
  "formula": "HgIF",
  "functional": "PBE-GGA",
  "state": "relaxed",
  "lattice": [[6.457, 0.000, 0.000], [0.000, 4.399, 0.000], [-2.364, 0.000, 6.656]],
  "species": ["Hg", "Hg", "I", "I", "F", "F"],
  "fractional_positions": [[0.249, 0.250, 0.455], [0.751, 0.750, 0.545], [0.162, 0.750, 0.793], [0.838, 0.250, 0.207], [0.412, 0.750, 0.360], [0.588, 0.250, 0.640]],
  "raw_formation_energy_ev_per_atom": -0.8669,
  "magmom_total_mub_per_cell": 0.00,
  "e_above_lowest_polymorph_mev_per_atom": 19
}

=====

{
  "formula": "Ac2CdIr",
  "functional": "PBE-GGA",
  "state": "relaxed",
  "lattice": [[6.379, 0.000, 0.000], [0.000, 4.520, 0.000], [-3.178, 0.000, 8.835]],
  "species": ["Ac", "Ac", "Ac", "Ac", "Cd", "Cd", "Ir", "Ir"],
  "fractional_positions": [[0.213, 0.250, 0.149], [0.253, 0.250, 0.741], [0.747, 0.750, 0.259], [0.787, 0.750, 0.851], [0.336, 0.750, 0.465], [0.664, 0.250, 0.535], [0.308, 0.750, 0.962], [0.692, 0.250, 0.038]],
  "magmom_total_mub_per_cell": 0.00,
  "e_form_mev_per_atom": -497
}

=====

{
  "formula": "Cd2CuNi",
  "functional": "PBE-GGA",
  "state": "relaxed",
  "lattice": [[0.000, 3.175, 3.175], [3.175, 0.000, 3.175], [3.175, 3.175, 0.000]],
  "species": ["Cd", "Cd", "Cu", "Ni"],
  "fractional_positions": [[0.000, 0.000, 0.000], [0.250, 0.250, 0.250], [0.500, 0.500, 0.500], [0.750, 0.750, 0.750]],
  "magmom_total_mub_per_cell": 0.00,
  "e_form_mev_per_atom": 152,
  "e_above_lowest_polymorph_mev_per_atom": 89
}

=====

{
  "formula": "AsOsSeN2",
  "functional": "PBE-GGA",
  "state": "relaxed",
  "lattice": [[3.814, 0.000, 0.000], [0.000, 3.814, 0.000], [0.000, 0.000, 5.540]],
  "species": ["As", "Os", "Se", "N", "N"],
  "fractional_positions": [[0.000, 0.000, 0.000], [0.500, 0.500, 0.500], [0.500, 0.500, 0.000], [0.000, 0.500, 0.500], [0.500, 0.000, 0.500]],
  "raw_formation_energy_ev_per_atom": 0.7949,
  "magmom_total_mub_per_cell": 1.23,
  "e_above_lowest_polymorph_mev_per_atom": 0
}

=====

{
  "formula": "K2NaTlMo",
  "functional": "PBE-GGA",
  "state": "relaxed",
  "lattice": [[6.647, 0.000, 0.000], [0.000, 6.647, 0.000], [0.000, 0.000, 5.495]],
  "species": ["K", "K", "Na", "Tl", "Mo"],
  "fractional_positions": [[0.000, 0.500, 0.000], [0.500, 0.000, 0.000], [0.000, 0.000, 0.500], [0.500, 0.500, 0.000], [0.500, 0.500, 0.500]],
  "magmom_total_mub_per_cell": 3.58,
  "e_form_mev_per_atom": 868
}